Entry from the Alexandria database: a relaxed structure of K3Tb2GaO6 (PBE).

Output
M_tot = 0.00 μB/f.u.
formation energy from raw total energies = -2.3247 eV/atom

Lattice parameters (Å, degrees): 5.8490 10.1380 6.5277 90.00 107.29 90.00
Closest atoms and distances in Å follow each position.
Space group C2/m (No. 12)
Unique sites:
K 0.0000 0.0000 0.0000  6 O 2.74-2.88
K 0.0000 0.3375 0.0000  6 O 2.71-2.90
Tb 0.0000 0.1669 0.5000  6 O 2.32
Ga 0.0000 0.5000 0.5000  6 O 2.13-2.15
O 0.2160 0.3447 0.6828  1 Ga 2.15, 2 Tb 2.32
O 0.2493 0.5000 0.3189  1 Ga 2.13, 2 Tb 2.32